Entry 1:
! BeB3Te, optimized geometry, DFT GGA-PBE; values from VASP
! DOS at the Fermi energy   0.536 states/eV/atom
! Formation energy from raw total energies   250 kJ/mol of atoms
! E above lowest polymorph   21.60 kcal/mol of atoms
&SYSTEM
  ibrav = 0, nat = 5, ntyp = 3
/
ATOMIC_SPECIES
B 10.81 B.upf
Te 127.60 Te.upf
Be 9.01 Be.upf
ATOMIC_POSITIONS crystal
B 0.5000 0.0000 0.0000
B 0.0000 0.0000 0.5000
B 0.0000 0.5000 0.0000
Te 0.0000 0.0000 0.0000
Be 0.5000 0.5000 0.5000
CELL_PARAMETERS angstrom
-4.0832 0.0289 1.7224
-1.3206 -2.8978 -3.0821
1.1062 -3.3530 2.6785

=====

Entry 2:
! BeBTe3, optimized geometry, DFT GGA-PBE; values from VASP
! DOS at the Fermi energy   0.664 states/eV/atom
! Formation energy from raw total energies   103 kJ/mol of atoms
! E above lowest polymorph   0.00 kcal/mol of atoms
&SYSTEM
  ibrav = 0, nat = 5, ntyp = 3
/
ATOMIC_SPECIES
Te 127.60 Te.upf
Be 9.01 Be.upf
B 10.81 B.upf
ATOMIC_POSITIONS crystal
Te 0.5000 0.0000 0.0000
Te 0.0000 0.5000 0.0000
Te 0.0000 0.0000 0.5000
Be 0.5000 0.5000 0.5000
B 0.0000 0.0000 0.0000
CELL_PARAMETERS angstrom
-1.9829 -3.2957 2.9111
3.9847 -2.6973 -0.3395
1.8598 2.2652 3.8312

=====

Entry 3:
! BeB2Te, optimized geometry, DFT GGA-PBE; values from VASP
! DOS at the Fermi energy   0.501 states/eV/atom
! Formation energy from raw total energies   166 kJ/mol of atoms
! E above lowest polymorph   17.95 kcal/mol of atoms
&SYSTEM
  ibrav = 0, nat = 4, ntyp = 3
/
ATOMIC_SPECIES
Be 9.01 Be.upf
Te 127.60 Te.upf
B 10.81 B.upf
ATOMIC_POSITIONS crystal
Be 0.0000 0.0000 0.0000
Te 0.5000 0.5000 0.5000
B 0.2500 0.2500 0.2500
B 0.7500 0.7500 0.7500
CELL_PARAMETERS angstrom
4.0718 -0.7886 0.0247
2.1020 0.0584 3.5750
1.4167 -3.5406 1.6307

=====

Entry 4:
! BeB3Te, optimized geometry, DFT GGA-PBE; values from VASP
! DOS at the Fermi energy   0.469 states/eV/atom
! Formation energy from raw total energies   159 kJ/mol of atoms
! E above lowest polymorph   0.00 kcal/mol of atoms
&SYSTEM
  ibrav = 0, nat = 5, ntyp = 3
/
ATOMIC_SPECIES
B 10.81 B.upf
Be 9.01 Be.upf
Te 127.60 Te.upf
ATOMIC_POSITIONS crystal
B 0.0000 0.0000 0.5000
B 0.5000 0.0000 0.0000
B 0.0000 0.5000 0.0000
Be 0.0000 0.0000 0.0000
Te 0.5000 0.5000 0.5000
CELL_PARAMETERS angstrom
3.9434 0.0000 0.0000
0.0000 3.9434 0.0000
0.0000 0.0000 3.9434

=====

Entry 5:
! BeB2Te, optimized geometry, DFT GGA-PBE; values from VASP
! DOS at the Fermi energy   0.311 states/eV/atom
! Formation energy from raw total energies   91 kJ/mol of atoms
! E above lowest polymorph   0.00 kcal/mol of atoms
&SYSTEM
  ibrav = 0, nat = 8, ntyp = 3
/
ATOMIC_SPECIES
B 10.81 B.upf
Te 127.60 Te.upf
Be 9.01 Be.upf
ATOMIC_POSITIONS crystal
B 0.5287 0.1250 0.2500
B 0.8750 0.7787 0.7500
B 0.2213 0.6250 0.2500
B 0.3750 0.4713 0.7500
Te 0.0000 0.0000 0.0000
Te 0.7500 0.2500 0.5000
Be 0.5000 0.5000 0.0000
Be 0.2500 0.7500 0.5000
CELL_PARAMETERS angstrom
-2.9391 -1.9753 -2.5267
2.8605 -3.1643 -0.8537
-1.9391 -5.5018 2.8119

=====

Entry 6:
! ThBeB, optimized geometry, DFT GGA-PBE; values from VASP
! Energy of formation from the pure elements   -5 kJ/mol of formula units
! DOS at the Fermi energy   0.557 states/eV/atom
&SYSTEM
  ibrav = 0, nat = 6, ntyp = 3
/
ATOMIC_SPECIES
Th 232.04 Th.upf
B 10.81 B.upf
Be 9.01 Be.upf
ATOMIC_POSITIONS crystal
Th 0.5156 0.5156 0.5000
Th 0.5156 0.5156 0.0000
B 0.0157 0.5151 0.7500
B 0.5151 0.0157 0.2500
Be 0.0152 0.0167 0.2500
Be 0.0167 0.0152 0.7500
CELL_PARAMETERS angstrom
-3.4376 -1.1253 0.7917
1.0033 -3.5082 -0.6292
1.9502 -0.7657 7.3797

=====

Entry 7:
! Ti2BeB2, optimized geometry, DFT GGA-PBE; values from VASP
! Energy of formation from the pure elements   -342 kJ/mol of formula units
! DOS at the Fermi energy   0.519 states/eV/atom
! E above lowest polymorph   0.00 kcal/mol of atoms
&SYSTEM
  ibrav = 0, nat = 5, ntyp = 3
/
ATOMIC_SPECIES
B 10.81 B.upf
Ti 47.87 Ti.upf
Be 9.01 Be.upf
ATOMIC_POSITIONS crystal
B 0.0000 0.2076 0.4151
B 0.0000 0.7924 0.5849
Ti 0.5000 0.3668 0.7336
Ti 0.5000 0.6332 0.2664
Be 0.0000 0.0000 0.0000
CELL_PARAMETERS angstrom
-2.5280 -1.8680 -0.6779
0.3603 0.5736 -2.9244
3.0388 -4.4880 1.0347

=====

Entry 8:
! Ti4Be2B, optimized geometry, DFT GGA-PBE; values from VASP
! Energy of formation from the pure elements   55 kJ/mol of formula units
! DOS at the Fermi energy   0.513 states/eV/atom
&SYSTEM
  ibrav = 0, nat = 7, ntyp = 3
/
ATOMIC_SPECIES
Be 9.01 Be.upf
Ti 47.87 Ti.upf
B 10.81 B.upf
ATOMIC_POSITIONS crystal
Be 0.6126 0.6126 0.7748
Be 0.3874 0.3874 0.2252
Ti 0.0000 0.5000 0.0000
Ti 0.1823 0.1823 0.6354
Ti 0.5000 0.0000 0.0000
Ti 0.8177 0.8177 0.3646
B 0.0000 0.0000 0.0000
CELL_PARAMETERS angstrom
4.1970 0.0000 0.0000
0.0000 4.1970 0.0000
2.0985 2.0985 5.8728

=====

Entry 9:
! TiBeB3, optimized geometry, DFT GGA-PBE; values from VASP
! Energy of formation from the pure elements   896 kJ/mol of formula units
! DOS at the Fermi energy   0.514 states/eV/atom
! E above lowest polymorph   56.40 kcal/mol of atoms
&SYSTEM
  ibrav = 0, nat = 5, ntyp = 3
/
ATOMIC_SPECIES
B 10.81 B.upf
Be 9.01 Be.upf
Ti 47.87 Ti.upf
ATOMIC_POSITIONS crystal
B 0.0000 0.0000 0.5000
B 0.5000 0.0000 0.0000
B 0.0000 0.5000 0.0000
Be 0.5000 0.5000 0.5000
Ti 0.0000 0.0000 0.0000
CELL_PARAMETERS angstrom
-2.8007 -2.6309 -1.3134
2.3796 -3.0934 1.1223
-1.7276 0.0044 3.6751

=====

Entry 10:
! TiBeB3, optimized geometry, DFT GGA-PBE; values from VASP
! Energy of formation from the pure elements   -284 kJ/mol of formula units
! DOS at the Fermi energy   0.123 states/eV/atom
! E above lowest polymorph   0.00 kcal/mol of atoms
&SYSTEM
  ibrav = 0, nat = 10, ntyp = 3
/
ATOMIC_SPECIES
B 10.81 B.upf
Be 9.01 Be.upf
Ti 47.87 Ti.upf
ATOMIC_POSITIONS crystal
B 0.7500 0.5256 0.0513
B 0.7500 0.6297 0.2595
B 0.7500 0.3196 0.6392
B 0.2500 0.6804 0.3608
B 0.2500 0.3703 0.7405
B 0.2500 0.4744 0.9487
Be 0.7500 0.2051 0.4102
Be 0.2500 0.7949 0.5898
Ti 0.7500 0.9227 0.8453
Ti 0.2500 0.0773 0.1547
CELL_PARAMETERS angstrom
3.0147 0.0000 0.0000
0.0000 3.1034 -0.5934
0.0000 0.0547 8.6981

=====

Per-record uncorrected energy, eV/atom: -2.79 -2.90 -3.34 -3.73 -4.12 -5.96 -7.28 -6.45 -4.47 -6.92